## SrMn2F (PBE with a Hubbard U)

Data for a relaxed structure of SrMn2F.

Structure (CIF):
```
data_SrMn2F
_chemical_formula_sum 'Sr4 Mn8 F4'
_cell_length_a 3.762
_cell_length_b 3.762
_cell_length_c 27.062
_cell_angle_alpha 90.00
_cell_angle_beta 90.00
_cell_angle_gamma 90.00
_space_group_name_H-M_alt 'I -4 2 d'
_space_group_IT_number 122
_space_group_name_Hall 'I -4 2bw'
loop_
_atom_site_label
_atom_site_type_symbol
_atom_site_fract_x
_atom_site_fract_y
_atom_site_fract_z
_atom_site_occupancy
Sr1 Sr 0.000 0.000 0.000 1
Mn1 Mn 0.250 0.250 0.375 1
F1 F 0.000 0.000 0.500 1
```

Its final energy is -5.29 eV/atom.